Record 1
The following is a DFT calculation (GGA-PBE) of a geometry-optimized K2SbBr structure.

Lattice parameters (Å, degrees): 4.1018 4.1018 30.0047 90.00 90.00 120.00
Space group R-3m (No. 166, hexagonal axes)
One atom of each set of equivalent atoms:
K1 0.0000 0.0000 0.2392 [6 per cell]
Sb1 0.0000 0.0000 0.0000 [3 per cell]
Br1 0.0000 0.0000 0.5000 [3 per cell]


Record 2
The following is a DFT calculation (GGA-PBE) of a geometry-optimized SiTeRh2 structure.

Lattice parameters (Å, degrees): 6.7001 3.7227 5.9583 90.00 101.85 90.00
Space group Cm (No. 8)
One atom of each set of equivalent atoms:
Si1 0.0000 0.0000 0.0000 [2 per cell]
Te1 0.1127 0.0000 0.4922 [2 per cell]
Rh1 0.1475 0.5000 0.8572 [2 per cell]
Rh2 0.3716 0.0000 0.1906 [2 per cell]


Formation energy without anion corrections for the records above, in order: -3.25, -1.65 eV per formula unit
N(E_F) for the records above, in order: 2.4, 2.2 states/eV/f.u.
E above lowest polymorph for the records above, in order: 0.0951, 0.0000 eV/atom